Entry 1:
YCr2Pt | PBE-GGA | relaxed

Results
E above lowest polymorph (eV per formula unit): 1.98
Energy of formation from the pure elements (meV per atom): 391

Lattice parameters (Å, degrees): 4.4715 4.4715 4.4715 60.00 60.00 60.00
With the nearest neighbours (Å) after each atom.
Positions (direct):
Cr1 0.7500 0.7500 0.7500  4 Pt 2.74, 4 Y 2.74
Cr2 0.2500 0.2500 0.2500  4 Pt 2.74, 4 Y 2.74
Pt1 0.5000 0.5000 0.5000  8 Cr 2.74
Y1 0.0000 0.0000 0.0000  8 Cr 2.74


Entry 2:
Sm4SO5 | PBE-GGA | relaxed

Results
Energy relative to the elements, uncorrected (eV/atom): -2.99

Lattice parameters (Å, degrees): 5.7401 7.3595 9.0342 90.00 90.00 90.00
With the nearest neighbours (Å) after each atom.
Positions (direct):
Sm1 0.0280 0.0000 0.2738  5 O 2.36-2.47
Sm2 0.0280 0.0000 0.7262  5 O 2.36-2.47
S1 0.1905 0.5000 0.5000  4 Sm 2.65-2.77
Sm3 0.5136 0.7576 0.5000  3 O 2.20-2.27
O1 0.7668 0.7547 0.3178  3 Sm 2.20-2.38
Sm4 0.9720 0.5000 0.2262  5 O 2.36-2.47
Sm5 0.5136 0.2424 0.5000  3 O 2.20-2.27
O2 0.2332 0.2547 0.8178  3 Sm 2.20-2.38
O3 0.2332 0.7453 0.1822  3 Sm 2.20-2.38
O4 0.2332 0.7453 0.8178  3 Sm 2.20-2.38
O5 0.2332 0.2547 0.1822  3 Sm 2.20-2.38
S2 0.8095 0.0000 0.0000  4 Sm 2.65-2.77
O6 0.7318 0.5000 0.0000  4 Sm 2.27-2.47
O7 0.2682 0.0000 0.5000  4 Sm 2.27-2.47
O8 0.7668 0.7547 0.6822  3 Sm 2.20-2.38
Sm6 0.4864 0.7424 0.0000  3 O 2.20-2.27
O9 0.7668 0.2453 0.6822  3 Sm 2.20-2.38
Sm7 0.9720 0.5000 0.7738  5 O 2.36-2.47
Sm8 0.4864 0.2576 0.0000  3 O 2.20-2.27
O10 0.7668 0.2453 0.3178  3 Sm 2.20-2.38


Entry 3:
CuTc2H | PBE-GGA | relaxed

Results
E above lowest polymorph (eV per formula unit): 1.77

Lattice parameters (Å, degrees): 4.0444 4.0444 4.0444 60.00 60.00 60.00
With the nearest neighbours (Å) after each atom.
Positions (direct):
Tc1 0.7500 0.7500 0.7500  4 Cu 2.48, 4 H 2.48
Tc2 0.2500 0.2500 0.2500  4 Cu 2.48, 4 H 2.48
H1 0.0000 0.0000 0.0000  8 Tc 2.48
Cu1 0.5000 0.5000 0.5000  8 Tc 2.48


Number 1: uncorrected energy -30.2 eV for the cell shown. Number 2: uncorrected energy -155.3 eV for the cell shown. Number 3: uncorrected energy -24.8 eV for the cell shown.